# PBE LiTb2Se3, optimized geometry
data_LiTb2Se3
_chemical_formula_sum 'Li2 Tb4 Se6'
_space_group_name_H-M_alt 'I m m m'
_space_group_IT_number 71
_space_group_name_Hall '-I 2 2'
_cell_length_a 4.044
_cell_length_b 5.758
_cell_length_c 12.161
_cell_angle_alpha 90.00
_cell_angle_beta 90.00
_cell_angle_gamma 90.00
loop_
_atom_site_label
_atom_site_type_symbol
_atom_site_fract_x
_atom_site_fract_y
_atom_site_fract_z
Li1 Li 0.000 0.000 0.000
Tb1 Tb 0.000 0.000 0.334
Se1 Se 0.000 0.500 0.000
Se2 Se 0.000 0.500 0.340
# formation energy without anion corrections = -1733.0 meV per atom
# calculated density = 6.59 Mg/m³
# DFT total energy = -5.3377 eV per atom
# calculated volume = 23.60 A^3/atom